A relaxed structure of PmMg3Ga3, computed with PBE.

Results
Crystal system: cubic
DFT formation energy in eV per formula unit: 2.2
Total magnetization in μB per formula unit: 0.000
E above lowest polymorph in meV/atom: 584
Space group: Pm-3n (223)
E in eV per formula unit: -16.4

a b c (Å): 7.2832 7.2832 7.2832
angles (deg): 90.00 90.00 90.00
Atoms (fractional coordinates):
Pm1 0.0000 0.0000 0.0000
Pm2 0.5000 0.5000 0.5000
Mg1 0.0000 0.2500 0.5000
Mg2 0.0000 0.7500 0.5000
Mg3 0.2500 0.5000 0.0000
Mg4 0.5000 0.0000 0.2500
Mg5 0.5000 0.0000 0.7500
Mg6 0.7500 0.5000 0.0000
Ga1 0.0000 0.5000 0.2500
Ga2 0.0000 0.5000 0.7500
Ga3 0.2500 0.0000 0.5000
Ga4 0.5000 0.2500 0.0000
Ga5 0.5000 0.7500 0.0000
Ga6 0.7500 0.0000 0.5000

A relaxed structure of Yb3Si11Pt23, computed with PBE.

Results
Crystal system: cubic
Formation energy (no corrections) in eV/atom: -0.87
Total magnetization in μB per formula unit: 0.846
Space group: Fm-3m (225)
E in eV per formula unit: -235.2

a b c (Å): 12.0324 12.0324 12.0324
angles (deg): 60.00 60.00 60.00
Atoms (fractional coordinates):
Yb1 0.0000 0.0000 0.5000
Yb2 0.0000 0.5000 0.0000
Yb3 0.0000 0.5000 0.5000
Yb4 0.5000 0.0000 0.0000
Yb5 0.5000 0.0000 0.5000
Yb6 0.5000 0.5000 0.0000
Si1 0.1651 0.1651 0.1651
Si2 0.1651 0.1651 0.5047
Si3 0.1651 0.5047 0.1651
Si4 0.1709 0.1709 0.8291
Si5 0.1709 0.8291 0.1709
Si6 0.1709 0.8291 0.8291
Si7 0.1799 0.6067 0.6067
Si8 0.3933 0.3933 0.3933
Si9 0.3933 0.3933 0.8201
Si10 0.3933 0.8201 0.3933
Si11 0.4953 0.8349 0.8349
Si12 0.5047 0.1651 0.1651
Si13 0.6067 0.1799 0.6067
Si14 0.6067 0.6067 0.1799
Si15 0.6067 0.6067 0.6067
Si16 0.8201 0.3933 0.3933
Si17 0.8291 0.1709 0.1709
Si18 0.8291 0.1709 0.8291
Si19 0.8291 0.8291 0.1709
Si20 0.8349 0.4953 0.8349
Si21 0.8349 0.8349 0.4953
Si22 0.8349 0.8349 0.8349
Pt1 0.0763 0.3079 0.3079
Pt2 0.0830 0.0830 0.0830
Pt3 0.0830 0.0830 0.7509
Pt4 0.0830 0.4220 0.7475
Pt5 0.0830 0.7475 0.4220
Pt6 0.0830 0.7475 0.7475
Pt7 0.0830 0.7509 0.0830
Pt8 0.2491 0.9170 0.9170
Pt9 0.2525 0.2525 0.5780
Pt10 0.2525 0.2525 0.9170
Pt11 0.2525 0.5780 0.2525
Pt12 0.2525 0.5780 0.9170
Pt13 0.2525 0.9170 0.2525
Pt14 0.2525 0.9170 0.5780
Pt15 0.3079 0.0763 0.3079
Pt16 0.3079 0.3079 0.0763
Pt17 0.3079 0.3079 0.3079
Pt18 0.3752 0.3752 0.6248
Pt19 0.3752 0.6248 0.3752
Pt20 0.3752 0.6248 0.6248
Pt21 0.4220 0.0830 0.7475
Pt22 0.4220 0.7475 0.0830
Pt23 0.4220 0.7475 0.7475
Pt24 0.5780 0.2525 0.2525
Pt25 0.5780 0.2525 0.9170
Pt26 0.5780 0.9170 0.2525
Pt27 0.6248 0.3752 0.3752
Pt28 0.6248 0.3752 0.6248
Pt29 0.6248 0.6248 0.3752
Pt30 0.6921 0.6921 0.6921
Pt31 0.6921 0.6921 0.9237
Pt32 0.6921 0.9237 0.6921
Pt33 0.7475 0.0830 0.4220
Pt34 0.7475 0.0830 0.7475
Pt35 0.7475 0.4220 0.0830
Pt36 0.7475 0.4220 0.7475
Pt37 0.7475 0.7475 0.0830
Pt38 0.7475 0.7475 0.4220
Pt39 0.7509 0.0830 0.0830
Pt40 0.9170 0.2491 0.9170
Pt41 0.9170 0.2525 0.2525
Pt42 0.9170 0.2525 0.5780
Pt43 0.9170 0.5780 0.2525
Pt44 0.9170 0.9170 0.2491
Pt45 0.9170 0.9170 0.9170
Pt46 0.9237 0.6921 0.6921

A relaxed structure of MoPd2Pt5, computed with PBE.

Results
Crystal system: orthorhombic
DFT formation energy in eV per formula unit: -1.4
Total magnetization in μB per formula unit: 0.004
Space group: Fmmm (69)
E in eV per formula unit: -52.9

a b c (Å): 6.8297 6.2523 4.8374
angles (deg): 74.81 62.07 43.12
Atoms (fractional coordinates):
Mo1 0.0000 0.0000 0.0000
Pd1 0.2465 0.2465 0.7535
Pd2 0.7535 0.7535 0.2465
Pt1 0.1233 0.1233 0.3767
Pt2 0.3767 0.3767 0.1233
Pt3 0.5000 0.5000 0.5000
Pt4 0.6233 0.6233 0.8767
Pt5 0.8767 0.8767 0.6233

A relaxed structure of RbCa2ZrRh, computed with PBE.

Results
Crystal system: tetragonal
DFT formation energy in eV per formula unit: 8.8
Total magnetization in μB per formula unit: 0.000
Space group: P4/mmm (123)
E in eV per formula unit: -12.0

a b c (Å): 5.2993 5.2993 5.0908
angles (deg): 90.00 90.00 90.00
Atoms (fractional coordinates):
Rb1 0.0000 0.0000 0.0000
Ca1 0.0000 0.5000 0.0000
Ca2 0.5000 0.0000 0.0000
Zr1 0.0000 0.0000 0.5000
Rh1 0.5000 0.5000 0.5000